Entry 1:
# Sc4ZnFe

A geometry-optimized Sc4ZnFe structure (PBE-GGA, Alexandria via LeMat-Bulk).

- Energy of formation: 3.243 eV per formula unit
- Crystal system: cubic
- Energy above the lowest structure with this stoichiometry: 721 meV per atom
- Symmetry: F-43m (216)

Lattice parameters (Å, degrees): 5.6273 5.6273 5.6273 60.00 60.00 60.00
Atoms (fractional coordinates):
Fe (0.0000, 0.0000, 0.0000)
Sc (0.3746, 0.8762, 0.3746)
Sc (0.8762, 0.3746, 0.3746)
Zn (0.7500, 0.7500, 0.7500)
Sc (0.3746, 0.3746, 0.3746)
Sc (0.3746, 0.3746, 0.8762)

Entry 2:
# TiPt3Br

A geometry-optimized TiPt3Br structure (PBE-GGA, Alexandria via LeMat-Bulk).

- Crystal system: cubic
- Energy above the lowest structure with this stoichiometry: 0 meV per atom
- Symmetry: Pm-3m (221)

Lattice parameters (Å, degrees): 4.7821 4.7821 4.7821 90.00 90.00 90.00
Atoms (fractional coordinates):
Pt (0.0000, 0.0000, 0.5000)
Ti (0.0000, 0.0000, 0.0000)
Br (0.5000, 0.5000, 0.5000)
Pt (0.5000, 0.0000, 0.0000)
Pt (0.0000, 0.5000, 0.0000)

Entry 3:
# MgMnRu2

A geometry-optimized MgMnRu2 structure (PBE-GGA, Alexandria via LeMat-Bulk).

- Energy of formation: 0.405 eV per formula unit
- Crystal system: monoclinic
- Symmetry: Cm (8)

Lattice parameters (Å, degrees): 5.1249 5.1249 4.3114 65.28 65.28 34.45
Atoms (fractional coordinates):
Mn (0.2614, 0.2614, 0.2381)
Mg (0.4984, 0.4984, 0.5019)
Ru (0.7407, 0.7407, 0.7591)
Ru (0.9995, 0.9995, 0.0009)

Entry 4:
# PmPaHg

A geometry-optimized PmPaHg structure (PBE-GGA, Alexandria via LeMat-Bulk).

- Energy of formation: 0.965 eV per formula unit
- Crystal system: orthorhombic
- Energy above the lowest structure with this stoichiometry: 117 meV per atom
- Symmetry: Imm2 (44)

Lattice parameters (Å, degrees): 3.2356 3.2096 8.3339 78.89 101.19 90.00
Atoms (fractional coordinates):
Pm (0.4910, 0.3425, 0.9819)
Pa (0.6675, 0.6658, 0.3350)
Hg (0.8416, 0.9917, 0.6831)

- Number 2 is which compound?
  TiPt3Br

- Number 1 is which compound?
  Sc4ZnFe